# 1
Here is a relaxed Hf3IrO crystal from the Alexandria database. Energies are from GGA-PBE.

Structure (extended XYZ):
```
20
Lattice="5.222 -5.952 0.000 5.222 5.952 0.000 -0.637 0.000 5.444" Properties=species:S:1:pos:R:3 pbc="T T T"
Hf 3.544 4.288 5.219
Hf 3.634 2.374 2.122
Hf 5.944 4.288 2.946
Hf 3.351 0.897 4.841
Hf 6.491 2.374 0.600
Hf 3.670 -0.897 2.120
Hf 6.137 0.897 3.324
Hf 3.316 -2.374 4.844
Hf 6.456 -0.897 0.602
Hf 3.863 -4.288 2.497
Hf 6.173 -2.374 3.321
Hf 6.263 -4.288 0.224
Ir 1.386 0.923 3.031
Ir 1.704 -0.923 0.309
Ir 8.103 0.923 5.135
Ir 8.421 -0.923 2.413
O 4.744 2.451 4.083
O 5.063 0.759 1.361
O 4.744 -0.759 4.083
O 5.063 -2.451 1.361
```

Summary:
* mass density: 14.60 g/cm3
* formation energy (no corrections): -1.29 eV per atom

---

# 2
Here is a relaxed Hf3IrO crystal from the Alexandria database. Energies are from GGA-PBE.

Structure (extended XYZ):
```
10
Lattice="6.190 0.000 0.000 -3.095 5.361 0.000 0.000 0.000 4.972" Properties=species:S:1:pos:R:3 pbc="T T T"
Hf -1.701 4.035 1.243
Hf 0.451 1.871 1.243
Hf 1.846 0.545 3.729
Hf 1.249 4.816 1.243
Hf 2.644 3.490 3.729
Hf 4.796 1.326 3.729
Ir 0.000 3.574 3.729
Ir 3.095 1.787 1.243
O 0.000 0.000 0.000
O 0.000 0.000 2.486
```

Summary:
* mass density: 14.97 g/cm3
* formation energy (no corrections): -1.43 eV per atom

---

# 3
Here is a relaxed Hf3IrO crystal from the Alexandria database. Energies are from GGA-PBE.

Structure (extended XYZ):
```
10
Lattice="-2.782 2.782 6.134 2.782 -2.782 6.134 2.782 2.782 -6.134" Properties=species:S:1:pos:R:3 pbc="T T T"
Hf 0.000 0.000 1.500
Hf 2.782 1.385 1.461
Hf 1.385 2.782 -1.461
Hf 1.397 0.000 4.673
Hf 0.000 1.397 7.595
Hf 0.000 0.000 10.767
Ir 0.000 2.782 1.823
Ir 0.000 2.782 4.311
O 2.782 0.000 3.067
O 0.000 0.000 6.134
```

Summary:
* mass density: 13.00 g/cm3
* formation energy (no corrections): -0.67 eV per atom

---

# 4
Here is a relaxed Hf3IrO crystal from the Alexandria database. Energies are from GGA-PBE.

Structure (extended XYZ):
```
10
Lattice="5.614 0.000 0.000 2.391 5.102 0.000 1.351 0.442 6.082" Properties=species:S:1:pos:R:3 pbc="T T T"
Hf 0.737 1.189 0.675
Hf 2.253 1.250 3.402
Hf 4.214 3.342 1.506
Hf 5.142 2.202 4.576
Hf 7.103 4.294 2.680
Hf 8.618 4.355 5.407
Ir 5.881 4.855 5.095
Ir 3.475 0.689 0.987
O 3.271 3.104 3.506
O 6.085 2.440 2.576
```

Summary:
* mass density: 14.18 g/cm3
* formation energy (no corrections): -1.39 eV per atom

---

# 5
Here is a relaxed Hf3IrO crystal from the Alexandria database. Energies are from GGA-PBE.

Structure (extended XYZ):
```
10
Lattice="5.645 0.000 0.000 1.550 5.681 0.000 0.272 2.521 5.609" Properties=species:S:1:pos:R:3 pbc="T T T"
Hf 0.000 0.000 0.000
Hf 1.561 5.995 3.086
Hf 2.834 2.998 3.904
Hf 2.987 0.765 1.401
Hf 4.559 5.417 4.971
Hf 5.796 3.470 2.022
Ir 1.664 4.984 5.463
Ir 3.111 4.132 1.584
O 0.837 2.142 3.553
O 5.144 6.775 3.435
```

Summary:
* mass density: 13.73 g/cm3
* formation energy (no corrections): -1.40 eV per atom

---

# 6
Here is a relaxed Hf3IrO crystal from the Alexandria database. Energies are from GGA-PBE.

Structure (extended XYZ):
```
10
Lattice="5.059 -2.227 0.000 5.059 2.227 0.000 -2.281 0.000 7.430" Properties=species:S:1:pos:R:3 pbc="T T T"
Hf 0.547 0.000 1.524
Hf 0.194 0.000 4.720
Hf 3.477 0.000 0.471
Hf 4.360 0.000 6.959
Hf 7.643 0.000 2.710
Hf 7.290 0.000 5.906
Ir 2.939 0.000 4.605
Ir 4.898 0.000 2.825
O -0.846 0.000 6.865
O 8.683 0.000 0.565
```

Summary:
* mass density: 14.75 g/cm3
* formation energy (no corrections): -1.36 eV per atom

---

# 7
Here is a relaxed Hf3IrO crystal from the Alexandria database. Energies are from GGA-PBE.

Structure (extended XYZ):
```
10
Lattice="3.904 0.000 0.000 -1.952 3.381 0.000 0.000 0.000 14.104" Properties=species:S:1:pos:R:3 pbc="T T T"
Hf 0.000 0.000 3.526
Hf 0.000 0.000 10.578
Hf 0.000 2.254 1.336
Hf 0.000 2.254 5.716
Hf 1.952 1.127 8.388
Hf 1.952 1.127 12.768
Ir 0.000 0.000 0.000
Ir 0.000 0.000 7.052
O 0.000 2.254 3.526
O 1.952 1.127 10.578
```

Summary:
* mass density: 13.26 g/cm3
* formation energy (no corrections): -1.13 eV per atom

---

# 8
Here is a relaxed Hf3IrO crystal from the Alexandria database. Energies are from GGA-PBE.

Structure (extended XYZ):
```
20
Lattice="6.438 0.000 0.000 0.000 8.879 0.000 0.000 0.000 5.917" Properties=species:S:1:pos:R:3 pbc="T T T"
Hf 0.090 2.220 0.645
Hf 1.216 0.468 4.061
Hf 1.216 3.971 4.061
Hf 2.003 4.907 1.102
Hf 2.003 8.411 1.102
Hf 3.129 6.659 3.603
Hf 3.309 2.220 2.314
Hf 4.435 0.468 4.815
Hf 4.435 3.971 4.815
Hf 5.222 4.907 1.856
Hf 5.222 8.411 1.856
Hf 6.348 6.659 5.272
Ir 0.614 6.659 2.684
Ir 2.605 2.220 5.642
Ir 3.833 6.659 0.275
Ir 5.824 2.220 3.233
O 0.000 0.000 0.000
O 0.000 4.439 0.000
O 3.219 0.000 2.958
O 3.219 4.439 2.958
```

Summary:
* mass density: 14.60 g/cm3
* formation energy (no corrections): -1.44 eV per atom

---

# 9
Here is a relaxed Hf3IrO crystal from the Alexandria database. Energies are from GGA-PBE.

Structure (extended XYZ):
```
5
Lattice="4.351 0.000 0.000 0.000 4.351 0.000 0.000 0.000 4.351" Properties=species:S:1:pos:R:3 pbc="T T T"
Hf 0.000 0.000 2.175
Hf 0.000 2.175 0.000
Hf 2.175 0.000 0.000
Ir 2.175 2.175 2.175
O 0.000 0.000 0.000
```

Summary:
* mass density: 14.99 g/cm3
* formation energy (no corrections): -1.28 eV per atom

---

# 10
Here is a relaxed Hf3IrO crystal from the Alexandria database. Energies are from GGA-PBE.

Structure (extended XYZ):
```
10
Lattice="5.101 0.000 0.000 0.000 5.927 0.000 -0.941 0.000 5.636" Properties=species:S:1:pos:R:3 pbc="T T T"
Hf 0.904 1.482 0.675
Hf 0.804 0.002 3.739
Hf 0.804 2.962 3.739
Hf 3.356 5.925 1.897
Hf 3.356 2.966 1.897
Hf 3.257 4.445 4.961
Ir 1.311 4.445 0.771
Ir 2.849 1.482 4.865
O -0.204 1.482 2.462
O 4.364 4.445 3.174
```

Summary:
* mass density: 14.49 g/cm3
* formation energy (no corrections): -1.28 eV per atom

---

# 11
Here is a relaxed Hf2Ir2O crystal from the Alexandria database. Energies are from GGA-PBE.

Structure (extended XYZ):
```
5
Lattice="4.310 0.000 0.000 0.000 4.310 0.000 0.000 0.000 4.114" Properties=species:S:1:pos:R:3 pbc="T T T"
Hf 0.000 2.155 0.000
Hf 2.155 0.000 0.000
Ir 0.000 0.000 2.057
Ir 2.155 2.155 2.057
O 0.000 0.000 0.000
```

Summary:
* mass density: 16.46 g/cm3
* formation energy (no corrections): -1.02 eV per atom

---

# 12
Here is a relaxed Hf3IrO crystal from the Alexandria database. Energies are from GGA-PBE.

Structure (extended XYZ):
```
10
Lattice="4.823 0.000 0.000 -2.411 4.177 0.000 0.000 0.000 8.368" Properties=species:S:1:pos:R:3 pbc="T T T"
Hf 0.000 0.000 2.092
Hf 0.000 0.000 6.276
Hf 0.000 2.784 0.656
Hf 0.000 2.784 3.528
Hf 2.411 1.392 4.840
Hf 2.411 1.392 7.712
Ir 0.000 2.784 6.276
Ir 2.411 1.392 2.092
O 0.000 0.000 0.000
O 0.000 0.000 4.184
```

Summary:
* mass density: 14.65 g/cm3
* formation energy (no corrections): -1.07 eV per atom